[1]
A plane-wave DFT calculation with GGA-PBE was carried out for an optimized crystal structure of LiTh3Ge3.

Computed properties:
Crystal system: monoclinic
Total magnetic moment: 0.000 Bohr magnetons per cell
Theoretical density: 9159 kg/m3
DFT formation energy: -656 meV/atom

abc: 6.020 6.020 14.636
angles: 108.36 108.36 41.97
Fractional positions:
1 Li 0.241 0.241 0.408
2 Li 0.759 0.759 0.592
3 Th 0.253 0.253 0.772
4 Th 0.398 0.398 0.079
5 Th 0.473 0.473 0.619
6 Th 0.527 0.527 0.381
7 Th 0.602 0.602 0.921
8 Th 0.747 0.747 0.228
9 Ge 0.034 0.034 0.235
10 Ge 0.123 0.123 0.077
11 Ge 0.135 0.135 0.550
12 Ge 0.865 0.865 0.450
13 Ge 0.877 0.877 0.923
14 Ge 0.966 0.966 0.765

***

[2]
A plane-wave DFT calculation with GGA-PBE was carried out for an optimized crystal structure of Nd6SmTm.

Computed properties:
Crystal system: tetragonal
Total magnetic moment: 0.000 Bohr magnetons per cell
Theoretical density: 7158 kg/m3
DFT formation energy: 16 meV/atom

abc: 5.161 5.161 10.318
angles: 90.00 90.00 90.00
Fractional positions:
1 Nd 0.000 0.000 0.000
2 Nd 0.000 0.000 0.500
3 Nd 0.000 0.500 0.248
4 Nd 0.000 0.500 0.752
5 Nd 0.500 0.000 0.248
6 Nd 0.500 0.000 0.752
7 Sm 0.500 0.500 0.500
8 Tm 0.500 0.500 0.000

***

[3]
A plane-wave DFT calculation with GGA-PBE was carried out for an optimized crystal structure of Be3BRu.

Computed properties:
Crystal system: cubic
Total magnetic moment: 0.000 Bohr magnetons per cell
Theoretical density: 4970 kg/m3
DFT formation energy: 277 meV/atom

abc: 3.594 3.594 3.594
angles: 90.00 90.00 90.00
Fractional positions:
1 Be 0.000 0.000 0.500
2 Be 0.000 0.500 0.000
3 Be 0.500 0.000 0.000
4 B 0.000 0.000 0.000
5 Ru 0.500 0.500 0.500

***

[4]
A plane-wave DFT calculation with GGA-PBE was carried out for an optimized crystal structure of K2Rb2PuO6.

Computed properties:
Crystal system: monoclinic
Total magnetic moment: 0.205 Bohr magnetons per cell
Energy relative to the elements, uncorrected: -1.915 eV/atom
Theoretical density: 4204 kg/m3

abc: 6.396 6.396 6.750
angles: 100.92 100.92 115.64
Fractional positions:
1 K 0.155 0.845 0.000
2 K 0.845 0.155 0.000
3 Rb 0.319 0.681 0.500
4 Rb 0.681 0.319 0.500
5 Pu 0.500 0.500 0.000
6 O 0.187 0.451 0.820
7 O 0.327 0.327 0.183
8 O 0.451 0.187 0.820
9 O 0.549 0.813 0.180
10 O 0.673 0.673 0.817
11 O 0.813 0.549 0.180

***

[5]
A plane-wave DFT calculation with GGA-PBE was carried out for an optimized crystal structure of LiCaMn2.

Computed properties:
Crystal system: trigonal
Total magnetic moment: 0.480 Bohr magnetons per cell
Theoretical density: 3220 kg/m3
DFT formation energy: 328 meV/atom

abc: 4.200 4.200 15.893
angles: 90.00 90.00 120.00
Fractional positions:
1 Li 0.000 0.000 0.000
2 Li 0.333 0.667 0.667
3 Li 0.667 0.333 0.333
4 Ca 0.000 0.000 0.206
5 Ca 0.333 0.667 0.872
6 Ca 0.667 0.333 0.539
7 Mn 0.000 0.000 0.409
8 Mn 0.000 0.000 0.734
9 Mn 0.333 0.667 0.076
10 Mn 0.333 0.667 0.401
11 Mn 0.667 0.333 0.067
12 Mn 0.667 0.333 0.743

***

[6]
A plane-wave DFT calculation with GGA-PBE was carried out for an optimized crystal structure of SmYCdGe.

Computed properties:
Crystal system: cubic
Total magnetic moment: 0.000 Bohr magnetons per cell
Theoretical density: 7088 kg/m3
DFT formation energy: -491 meV/atom

abc: 7.354 7.354 7.354
angles: 90.00 90.00 90.00
Fractional positions:
1 Sm 0.000 0.000 0.000
2 Sm 0.000 0.500 0.500
3 Sm 0.500 0.000 0.500
4 Sm 0.500 0.500 0.000
5 Y 0.000 0.000 0.500
6 Y 0.000 0.500 0.000
7 Y 0.500 0.000 0.000
8 Y 0.500 0.500 0.500
9 Cd 0.250 0.250 0.750
10 Cd 0.250 0.750 0.250
11 Cd 0.750 0.250 0.250
12 Cd 0.750 0.750 0.750
13 Ge 0.250 0.250 0.250
14 Ge 0.250 0.750 0.750
15 Ge 0.750 0.250 0.750
16 Ge 0.750 0.750 0.250

***

[7]
A plane-wave DFT calculation with GGA-PBE was carried out for an optimized crystal structure of LaTb3Y7.

Computed properties:
Crystal system: monoclinic
Total magnetic moment: 0.000 Bohr magnetons per cell
Theoretical density: 5584 kg/m3
DFT formation energy: 140 meV/atom

abc: 6.949 5.593 10.006
angles: 90.00 108.78 90.00
Fractional positions:
1 La 0.000 0.000 0.000
2 Tb 0.277 0.500 0.495
3 Tb 0.500 0.000 0.000
4 Tb 0.723 0.500 0.505
5 Y 0.000 0.000 0.500
6 Y 0.147 0.500 0.787
7 Y 0.324 0.500 0.140
8 Y 0.428 0.000 0.331
9 Y 0.572 0.000 0.669
10 Y 0.676 0.500 0.860
11 Y 0.853 0.500 0.213

***

[8]
A plane-wave DFT calculation with GGA-PBE was carried out for an optimized crystal structure of LiMg2Al.

Computed properties:
Crystal system: monoclinic
Total magnetic moment: 0.000 Bohr magnetons per cell
Theoretical density: 1730 kg/m3
DFT formation energy: -6 meV/atom

abc: 5.980 9.822 2.938
angles: 90.00 113.32 90.00
Fractional positions:
1 Li 0.000 0.000 0.000
2 Li 0.500 0.500 0.000
3 Mg 0.250 0.250 0.500
4 Mg 0.250 0.750 0.500
5 Mg 0.750 0.250 0.500
6 Mg 0.750 0.750 0.500
7 Al 0.000 0.500 0.000
8 Al 0.500 0.000 0.000